(1)
GeBiMo3 PBE optimized geometry; E above lowest polymorph = 0 meV per atom; ΔH_f (0 K) = 1243 meV per atom; SG = Pm-3m
1.0
4.6964 0.0000 0.0000
0.0000 4.6964 0.0000
0.0000 0.0000 4.6964
Ge Bi Mo
1 1 3
direct
0.0000 0.0000 0.0000
0.5000 0.5000 0.5000
0.0000 0.0000 0.5000
0.0000 0.5000 0.0000
0.5000 0.0000 0.0000



(2)
GeBiMo3 PBE optimized geometry; E above lowest polymorph = 1247 meV per atom; ΔH_f (0 K) = 2489 meV per atom; SG = Pm-3m
1.0
5.1338 0.0000 0.0000
0.0000 5.1338 0.0000
0.0000 0.0000 5.1338
Ge Bi Mo
1 1 3
direct
0.0000 0.0000 0.0000
0.5000 0.5000 0.5000
0.0000 0.5000 0.5000
0.5000 0.0000 0.5000
0.5000 0.5000 0.0000



(3)
Ge2BiMo2 PBE optimized geometry; ΔH_f (0 K) = 248 meV per atom; SG = P4/mbm
1.0
7.5552 0.0000 0.0000
0.0000 7.5552 0.0000
0.0000 0.0000 3.1817
Ge Bi Mo
4 2 4
direct
0.1395 0.3605 0.0000
0.3605 0.8605 0.0000
0.6395 0.1395 0.0000
0.8605 0.6395 0.0000
0.0000 0.0000 0.5000
0.5000 0.5000 0.5000
0.1464 0.6464 0.5000
0.3536 0.1464 0.5000
0.6464 0.8536 0.5000
0.8536 0.3536 0.5000



(4)
GeBi3Mo PBE optimized geometry; E above lowest polymorph = 503 meV per atom; ΔH_f (0 K) = 1278 meV per atom; SG = Pm-3m
1.0
5.4678 0.0000 0.0000
0.0000 5.4678 0.0000
0.0000 0.0000 5.4678
Ge Bi Mo
1 3 1
direct
0.0000 0.0000 0.0000
0.0000 0.0000 0.5000
0.0000 0.5000 0.0000
0.5000 0.0000 0.0000
0.5000 0.5000 0.5000



(5)
GeBi3Mo PBE optimized geometry; E above lowest polymorph = 0 meV per atom; ΔH_f (0 K) = 776 meV per atom; SG = Pm-3m
1.0
5.3855 0.0000 0.0000
0.0000 5.3855 0.0000
0.0000 0.0000 5.3855
Ge Bi Mo
1 3 1
direct
0.0000 0.0000 0.0000
0.0000 0.5000 0.5000
0.5000 0.0000 0.5000
0.5000 0.5000 0.0000
0.5000 0.5000 0.5000



(6)
Ge2BiMoSe PBE optimized geometry; formation energy without anion corrections = 0.427 eV per atom; SG = P4/mmm
1.0
5.0722 0.0000 0.0000
0.0000 5.0722 0.0000
0.0000 0.0000 4.7981
Ge Bi Mo Se
2 1 1 1
direct
0.0000 0.5000 0.0000
0.5000 0.0000 0.0000
0.0000 0.0000 0.5000
0.5000 0.5000 0.0000
0.5000 0.5000 0.5000